(1)
A plane-wave DFT calculation with PBE was carried out for a geometry-optimized ThTaIn structure.

The structure in POSCAR format:
```
ThTaIn
1.0
-3.327 -3.303 -1.531
-3.930 -1.020 2.799
-4.485 1.489 -1.410
In Ta Th
1 1 1
direct
0.000 0.000 0.000
0.250 0.250 0.250
0.750 0.750 0.750
```

- M_tot (Bohr magnetons per cell) = 0.02
- total DFT energy (no corrections) (eV per atom) = -6.598
- space-group type = F-43m, No. 216
- ρ (kg/m³) = 10332

=====

(2)
A plane-wave DFT calculation with PBE was carried out for a geometry-optimized UTaIn structure.

The structure in POSCAR format:
```
UTaIn
1.0
0.000 3.398 3.398
3.398 0.000 3.398
3.398 3.398 0.000
U In Ta
1 1 1
direct
0.750 0.750 0.750
0.000 0.000 0.000
0.250 0.250 0.250
```

- E above lowest polymorph (meV per atom) = 0
- M_tot (Bohr magnetons per cell) = 3.00
- total DFT energy (no corrections) (eV per atom) = -7.449
- space-group type = F-43m, No. 216
- ρ (kg/m³) = 11296

=====

(3)
A plane-wave DFT calculation with PBE was carried out for a geometry-optimized UTaIn structure.

The structure in POSCAR format:
```
UTaIn
1.0
0.000 3.419 3.419
3.419 0.000 3.419
3.419 3.419 0.000
Ta In U
1 1 1
direct
0.750 0.750 0.750
0.250 0.250 0.250
0.000 0.000 0.000
```

- E above lowest polymorph (meV per atom) = 253
- M_tot (Bohr magnetons per cell) = 1.16
- total DFT energy (no corrections) (eV per atom) = -7.196
- space-group type = F-43m, No. 216
- ρ (kg/m³) = 11086

=====

(4)
A plane-wave DFT calculation with PBE was carried out for a geometry-optimized Ta2ZnIn structure.

The structure in POSCAR format:
```
Ta2ZnIn
1.0
0.000 3.332 3.332
3.332 0.000 3.332
3.332 3.332 0.000
In Ta Zn
1 2 1
direct
0.500 0.500 0.500
0.750 0.750 0.750
0.000 0.000 0.000
0.250 0.250 0.250
```

- M_tot (Bohr magnetons per cell) = 0.00
- total DFT energy (no corrections) (eV per atom) = -6.479
- space-group type = F-43m, No. 216
- ρ (kg/m³) = 12169